Model P:
Material: AcTb12Pm7
Method: DFT, PBE
State: optimized geometry

Calculated values
Total magnetization (Bohr magnetons per cell): 0.00
Symmetry: Im-3m, No. 229

```
AcTb12Pm7
1.0
-5.7060 5.7060 5.7060
5.7060 -5.7060 5.7060
5.7060 5.7060 -5.7060
Ac Tb Pm
1 12 7
direct
0.0000 0.0000 0.0000
0.0000 0.2554 0.7446
0.0000 0.7446 0.2554
0.2554 0.0000 0.7446
0.2554 0.2554 0.5109
0.2554 0.5109 0.2554
0.2554 0.7446 0.0000
0.4891 0.7446 0.7446
0.5109 0.2554 0.2554
0.7446 0.0000 0.2554
0.7446 0.2554 0.0000
0.7446 0.4891 0.7446
0.7446 0.7446 0.4891
0.0000 0.0000 0.5000
0.0000 0.5000 0.0000
0.0000 0.5000 0.5000
0.5000 0.0000 0.0000
0.5000 0.0000 0.5000
0.5000 0.5000 0.0000
0.5000 0.5000 0.5000
```



Model Q:
Material: AcTb12Pm7
Method: DFT, PBE
State: optimized geometry

Calculated values
Total magnetization (Bohr magnetons per cell): 0.00
Symmetry: R-3, No. 148

```
AcTb12Pm7
1.0
6.0726 3.5060 5.3887
-6.0726 3.5060 5.3887
0.0000 -7.0120 5.3887
Ac Tb Pm
1 12 7
direct
0.0000 0.0000 0.0000
0.1313 0.6235 0.4937
0.1507 0.2798 0.7316
0.2684 0.8493 0.7202
0.2798 0.7316 0.1507
0.3765 0.5063 0.8687
0.4937 0.1313 0.6235
0.5063 0.8687 0.3765
0.6235 0.4937 0.1313
0.7202 0.2684 0.8493
0.7316 0.1507 0.2798
0.8493 0.7202 0.2684
0.8687 0.3765 0.5063
0.0677 0.3966 0.1563
0.1563 0.0677 0.3966
0.3966 0.1563 0.0677
0.5000 0.5000 0.5000
0.6034 0.8437 0.9323
0.8437 0.9323 0.6034
0.9323 0.6034 0.8437
```



So which one is most stable? That would be model Q, about 377 meV per atom below the next structure.